The following is a PBE calculation of a relaxed structure of Ce5DyN6, from the Alexandria database.

Lattice parameters (Å, degrees): 6.154 10.657 6.154 90.00 109.45 90.00
Space group C2/m (No. 12)
One atom of each set of equivalent atoms:
Ce  0.000  0.000  0.000 [2 per cell]
Ce  0.000  0.167  0.500 [4 per cell]
Ce  0.000  0.333  0.000 [4 per cell]
Dy  0.000  0.500  0.500 [2 per cell]
N  0.248  0.334  0.747 [8 per cell]
N  0.248  0.500  0.251 [4 per cell]

## Properties
Energy relative to the elements, uncorrected ... -18.31 eV/f.u.
Uncorrected energy ... -8.5448 eV per atom



The following is a PBE calculation of a relaxed structure of Ce5Dy3N8, from the Alexandria database.

Lattice parameters (Å, degrees): 7.0631 7.0631 17.3182 90.00 90.00 120.00
Space group R-3m (No. 166, hexagonal axes)
One atom of each set of equivalent atoms:
Ce  0.0000  0.0000  0.0000 [3 per cell]
Ce  0.0000  0.0000  0.5000 [3 per cell]
Ce  0.0000  0.5000  0.0000 [9 per cell]
Dy  0.0000  0.5000  0.5000 [9 per cell]
N  0.0000  0.0000  0.2499 [6 per cell]
N  0.0017  0.5009  0.7509 [18 per cell]

## Properties
Energy relative to the elements, uncorrected ... -25.08 eV/f.u.
Uncorrected energy ... -8.4477 eV per atom



The following is a PBE calculation of a relaxed structure of Ce6DyN8, from the Alexandria database.

Lattice parameters (Å, degrees): 10.000 10.000 10.000 90.00 90.00 90.00
Space group Fm-3m (No. 225)
One atom of each set of equivalent atoms:
Ce  0.000  0.250  0.250 [24 per cell]
Dy  0.000  0.000  0.000 [4 per cell]
N  0.000  0.000  0.235 [24 per cell]
N  0.250  0.250  0.250 [8 per cell]

## Properties
Energy relative to the elements, uncorrected ... -19.37 eV/f.u.
Uncorrected energy ... -8.4118 eV per atom



The following is a PBE calculation of a relaxed structure of CeDy3N4, from the Alexandria database.

Lattice parameters (Å, degrees): 6.993 9.861 3.499 90.00 90.00 90.00
Space group Cmmm (No. 65)
One atom of each set of equivalent atoms:
Ce  0.000  0.000  0.000 [2 per cell]
Dy  0.000  0.500  0.000 [2 per cell]
Dy  0.250  0.250  0.500 [4 per cell]
N  0.000  0.248  0.000 [4 per cell]
N  0.250  0.000  0.500 [4 per cell]

## Properties
Energy relative to the elements, uncorrected ... -13.22 eV/f.u.
Uncorrected energy ... -8.2827 eV per atom
Energy relative to the lowest polymorph listed for this composition ... 4 meV per atom



The following is a PBE calculation of a relaxed structure of Ce3Dy5N8, from the Alexandria database.

Lattice parameters (Å, degrees): 7.0157 7.0157 17.1782 90.00 90.00 120.00
Space group R-3m (No. 166, hexagonal axes)
One atom of each set of equivalent atoms:
Ce  0.0000  0.5000  0.0000 [9 per cell]
Dy  0.0000  0.0000  0.0000 [3 per cell]
Dy  0.0000  0.0000  0.5000 [3 per cell]
Dy  0.0000  0.5000  0.5000 [9 per cell]
N  0.0000  0.0000  0.2490 [6 per cell]
N  0.0006  0.5003  0.2503 [18 per cell]

## Properties
Energy relative to the elements, uncorrected ... -25.96 eV/f.u.
Uncorrected energy ... -8.3361 eV per atom



The following is a PBE calculation of a relaxed structure of Ce4DyN5, from the Alexandria database.

Lattice parameters (Å, degrees): 3.551 3.551 25.071 90.00 90.00 90.00
Space group I4/mmm (No. 139)
One atom of each set of equivalent atoms:
Ce  0.000  0.000  0.099 [4 per cell]
Ce  0.000  0.000  0.300 [4 per cell]
Dy  0.000  0.000  0.500 [2 per cell]
N  0.000  0.000  0.000 [2 per cell]
N  0.000  0.000  0.200 [4 per cell]
N  0.000  0.000  0.402 [4 per cell]

## Properties
Energy relative to the elements, uncorrected ... -15.35 eV/f.u.
Uncorrected energy ... -8.5312 eV per atom
Energy relative to the lowest polymorph listed for this composition ... 0 meV per atom



The following is a PBE calculation of a relaxed structure of CeDy3N, from the Alexandria database.

Lattice parameters (Å, degrees): 4.956 4.956 4.956 90.00 90.00 90.00
Space group Pm-3m (No. 221)
One atom of each set of equivalent atoms:
Ce  0.000  0.000  0.000 [1 per cell]
Dy  0.000  0.500  0.500 [3 per cell]
N  0.500  0.500  0.500 [1 per cell]

## Properties
Energy relative to the elements, uncorrected ... -2.09 eV/f.u.
Uncorrected energy ... -6.0318 eV per atom



The following is a PBE calculation of a relaxed structure of CeDy2N3, from the Alexandria database.

Lattice parameters (Å, degrees): 3.5055 3.5055 8.5848 90.00 90.00 120.00
Space group P-3m1 (No. 164)
One atom of each set of equivalent atoms:
Ce  0.0000  0.0000  0.0000 [1 per cell]
Dy  0.3333  0.6667  0.3387 [2 per cell]
N  0.0000  0.0000  0.5000 [1 per cell]
N  0.3333  0.6667  0.8326 [2 per cell]

## Properties
Energy relative to the elements, uncorrected ... -9.79 eV/f.u.
Uncorrected energy ... -8.3181 eV per atom